Below is a relaxed Pm2DyTm4Th crystal, with properties calculated at the PBE level.

Properties
- ΔE_f: 31 meV/atom
- VASP energy: -4.895 eV/atom
- Total magnetic moment: 0.0 μB per formula unit

Lattice parameters (Å, degrees): 5.054 5.054 9.882 90.00 90.00 90.00
Space group P4/mmm (No. 123)
Symmetry-distinct sites (fractional):
Pm 0.000 0.000 0.000 (multiplicity 1)
Pm 0.500 0.500 0.500 (multiplicity 1)
Dy 0.000 0.000 0.500 (multiplicity 1)
Tm 0.000 0.500 0.247 (multiplicity 4)
Th 0.500 0.500 0.000 (multiplicity 1)

Below is a relaxed Tm2TiTl3Se6 crystal, with properties calculated at the PBE level.

Properties
- VASP energy: -4.903 eV/atom
- Total magnetic moment: 1.0 μB per formula unit
- Formation energy from raw total energies: -1.166 eV per atom

Lattice parameters (Å, degrees): 6.986 12.075 8.119 90.00 106.74 90.00
Space group C2/m (No. 12)
Symmetry-distinct sites (fractional):
Tm 0.000 0.165 0.000 (multiplicity 4)
Ti 0.000 0.500 0.000 (multiplicity 2)
Tl 0.000 0.000 0.500 (multiplicity 2)
Tl 0.000 0.328 0.500 (multiplicity 4)
Se 0.223 0.342 0.195 (multiplicity 8)
Se 0.249 0.500 0.798 (multiplicity 4)

Below is a relaxed TaCuHg2Sb crystal, with properties calculated at the PBE level.

Properties
- VASP energy: -3.183 eV/atom
- Total magnetic moment: 0.0 μB per formula unit
- Formation energy from raw total energies: 0.952 eV per atom

Lattice parameters (Å, degrees): 5.443 5.443 5.281 90.00 90.00 90.00
Space group P4/mmm (No. 123)
Symmetry-distinct sites (fractional):
Ta 0.000 0.000 0.000 (multiplicity 1)
Cu 0.500 0.500 0.500 (multiplicity 1)
Hg 0.000 0.500 0.000 (multiplicity 2)
Sb 0.000 0.000 0.500 (multiplicity 1)

Below is a relaxed LaSm6Dy6 crystal, with properties calculated at the PBE level.

Properties
- ΔE_f: 256 meV/atom
- VASP energy: -4.425 eV/atom
- Total magnetic moment: 0.0 μB per formula unit

Lattice parameters (Å, degrees): 6.7050 6.7050 11.4999 90.00 90.00 120.00
Space group P6/mmm (No. 191)
Symmetry-distinct sites (fractional):
La 0.0000 0.0000 0.0000 (multiplicity 1)
Sm 0.0000 0.0000 0.3520 (multiplicity 2)
Sm 0.3333 0.6667 0.0000 (multiplicity 2)
Sm 0.3333 0.6667 0.5000 (multiplicity 2)
Dy 0.0000 0.5000 0.2483 (multiplicity 6)

Below is a relaxed FeGeN crystal, with properties calculated at the PBE level.

Properties
- VASP energy: -6.847 eV/atom
- Total magnetic moment: 0.0 μB per formula unit
- Formation energy from raw total energies: 0.289 eV per atom

Lattice parameters (Å, degrees): 2.557 2.564 5.507 90.15 103.25 90.00
Space group P1 (No. 1)
Symmetry-distinct sites (fractional):
Fe 0.000 0.000 0.000 (multiplicity 1)
Ge 0.771 0.503 0.543 (multiplicity 1)
N 0.561 0.501 0.123 (multiplicity 1)

Below is a relaxed K3Tb2ThSe6 crystal, with properties calculated at the PBE level.

Properties
- VASP energy: -5.092 eV/atom
- Total magnetic moment: 0.0 μB per formula unit
- Formation energy from raw total energies: -1.686 eV per atom

Lattice parameters (Å, degrees): 19.703 4.230 9.164 90.00 109.30 90.00
Space group C2/m (No. 12)
Symmetry-distinct sites (fractional):
K 0.000 0.000 0.000 (multiplicity 2)
K 0.167 0.500 0.331 (multiplicity 4)
Tb 0.169 0.500 0.838 (multiplicity 4)
Th 0.000 0.000 0.500 (multiplicity 2)
Se 0.010 0.500 0.733 (multiplicity 4)
Se 0.158 0.000 0.608 (multiplicity 4)
Se 0.176 0.000 0.060 (multiplicity 4)

Below is a relaxed Dy7HoCd4 crystal, with properties calculated at the PBE level.

Properties
- ΔE_f: 11 meV/atom
- VASP energy: -3.360 eV/atom
- Total magnetic moment: 0.0 μB per formula unit

Lattice parameters (Å, degrees): 14.676 5.696 9.715 90.00 121.94 90.00
Space group C2/m (No. 12)
Symmetry-distinct sites (fractional):
Dy 0.000 0.000 0.000 (multiplicity 2)
Dy 0.071 0.500 0.412 (multiplicity 4)
Dy 0.206 0.500 0.881 (multiplicity 4)
Dy 0.239 0.000 0.695 (multiplicity 4)
Ho 0.000 0.500 0.000 (multiplicity 2)
Cd 0.042 0.000 0.711 (multiplicity 4)
Cd 0.181 0.000 0.342 (multiplicity 4)

Below is a relaxed Be2SbP crystal, with properties calculated at the PBE level.

Properties
- VASP energy: -3.957 eV/atom
- Total magnetic moment: 0.0 μB per formula unit
- Formation energy from raw total energies: 0.289 eV per atom

Lattice parameters (Å, degrees): 3.287 3.322 11.322 90.00 90.00 90.00
Space group Imm2 (No. 44)
Symmetry-distinct sites (fractional):
Be 0.000 0.000 0.000 (multiplicity 2)
Be 0.000 0.500 0.145 (multiplicity 2)
Sb 0.000 0.000 0.352 (multiplicity 2)
P 0.000 0.500 0.621 (multiplicity 2)

Below is a relaxed LaHfAl2 crystal, with properties calculated at the PBE level.

Properties
- ΔE_f: 342 meV/atom
- VASP energy: -5.249 eV/atom
- Total magnetic moment: 0.0 μB per formula unit

Lattice parameters (Å, degrees): 4.751 4.751 19.603 90.00 90.00 90.00
Space group I-42d (No. 122)
Symmetry-distinct sites (fractional):
La 0.000 0.000 0.000 (multiplicity 4)
Hf 0.000 0.000 0.500 (multiplicity 4)
Al 0.125 0.250 0.625 (multiplicity 8)

Below is a relaxed TaHgAsO6 crystal, with properties calculated at the PBE level.

Properties
- VASP energy: -6.746 eV/atom
- Total magnetic moment: 0.0 μB per formula unit
- Formation energy from raw total energies: -1.573 eV per atom

Lattice parameters (Å, degrees): 5.1957 5.1957 4.9979 90.00 90.00 120.00
Space group P312 (No. 149)
Symmetry-distinct sites (fractional):
Ta 0.0000 0.0000 0.0000 (multiplicity 1)
Hg 0.6667 0.3333 0.5000 (multiplicity 1)
As 0.3333 0.6667 0.0000 (multiplicity 1)
O 0.0537 0.3522 0.2100 (multiplicity 6)

- What is the VASP energy in the fourth record?
  -4.425 eV/atom

- Among the records above, which one has the lowest VASP energy?
  FeGeN